No. 1
# YTiReSi2

An optimized crystal structure of YTiReSi2 (PBE, the Alexandria database).

Results
The density of states at the Fermi level is 1.27 states/eV/atom. As for the crystal system: tetragonal. As for the formation energy without anion corrections: 624 meV/atom. The magnetic moment is 0.0 Bohr magnetons per cell.

a b c (Å): 4.627 4.627 5.382
angles (deg): 90.00 90.00 90.00
Space group P4/mmm (No. 123)
Asymmetric unit:
Y1 0.000 0.000 0.000
Ti1 0.500 0.500 0.000
Re1 0.000 0.000 0.500
Si1 0.000 0.500 0.500

---

No. 2
# TlRe2Si

An optimized crystal structure of TlRe2Si (PBE, the Alexandria database).

Results
The density of states at the Fermi level is 0.83 states/eV/atom. As for the crystal system: tetragonal. As for the formation energy without anion corrections: 455 meV/atom. The value obtained for the polymorph energy (0 for the lowest one) is 45 meV per atom. The magnetic moment is 0.0 Bohr magnetons per cell.

a b c (Å): 3.066 3.066 7.033
angles (deg): 90.00 90.00 90.00
Space group P4/mmm (No. 123)
Asymmetric unit:
Tl1 0.000 0.000 0.000
Re1 0.500 0.500 0.315
Si1 0.000 0.000 0.500

---

No. 3
# TlRe2Si

An optimized crystal structure of TlRe2Si (PBE, the Alexandria database).

Results
The density of states at the Fermi level is 0.80 states/eV/atom. As for the crystal system: orthorhombic. As for the formation energy without anion corrections: 661 meV/atom. The value obtained for the polymorph energy (0 for the lowest one) is 250 meV per atom. The magnetic moment is 0.0 Bohr magnetons per cell.

a b c (Å): 2.969 4.777 10.516
angles (deg): 90.00 90.00 90.00
Space group Cmm2 (No. 35)
Asymmetric unit:
Tl1 0.000 0.000 0.000
Re1 0.000 0.000 0.474
Re2 0.000 0.500 0.270
Si1 0.000 0.500 0.677

---

No. 4
# TlRe2Si

An optimized crystal structure of TlRe2Si (PBE, the Alexandria database).

Results
The density of states at the Fermi level is 0.72 states/eV/atom. As for the crystal system: cubic. As for the formation energy without anion corrections: 946 meV/atom. The value obtained for the polymorph energy (0 for the lowest one) is 536 meV per atom. The magnetic moment is 0.0 Bohr magnetons per cell.

a b c (Å): 6.448 6.448 6.448
angles (deg): 90.00 90.00 90.00
Space group F-43m (No. 216)
Asymmetric unit:
Tl1 0.000 0.000 0.000
Re1 0.000 0.000 0.500
Re2 0.250 0.250 0.250
Si1 0.250 0.250 0.750